No. 1
An optimized crystal structure of LiHg2Pb2. Source: the Alexandria database, functional PBE-GGA.

Properties
Calculated total energy in Ha/atom: -0.076
Offset from the most stable computed form in eV/atom: 0.062
Calculated formation energy in meV/atom: -88
Space group: C2/m (12)
Crystal system: monoclinic
Total moment in μB/f.u.: 0.0

Cell lengths 6.089, 6.089, 10.778 Å; angles 114.54, 114.54, 46.61 degrees
Element x y z (fractional)
Li 0.221 0.221 0.348
Li 0.779 0.779 0.652
Hg 0.025 0.025 0.875
Hg 0.156 0.156 0.568
Hg 0.844 0.844 0.432
Hg 0.975 0.975 0.125
Pb 0.316 0.316 0.901
Pb 0.498 0.498 0.332
Pb 0.502 0.502 0.668
Pb 0.684 0.684 0.099

No. 2
An optimized crystal structure of LiAg. Source: the Alexandria database, functional PBE-GGA.

Properties
Calculated total energy in Ha/atom: -0.096
Calculated formation energy in meV/atom: -221
Space group: Pm-3m (221)
Crystal system: cubic
Total moment in μB/f.u.: 0.0

Cell lengths 3.172, 3.172, 3.172 Å; angles 90.00, 90.00, 90.00 degrees
Element x y z (fractional)
Li 0.000 0.000 0.000
Ag 0.500 0.500 0.500

No. 3
An optimized crystal structure of KBeSi2. Source: the Alexandria database, functional PBE-GGA.

Properties
Calculated total energy in Ha/atom: -0.132
Space group: Pmmm (47)
Formation energy (no corrections) in meV/atom: 314
Crystal system: orthorhombic
Total moment in μB/f.u.: 0.0

Cell lengths 2.931, 3.450, 7.325 Å; angles 90.00, 90.00, 90.00 degrees
Element x y z (fractional)
K 0.000 0.000 0.000
Be 0.000 0.000 0.500
Si 0.500 0.500 0.340
Si 0.500 0.500 0.660

No. 4
An optimized crystal structure of Li4CdHg. Source: the Alexandria database, functional PBE-GGA.

Properties
Calculated total energy in Ha/atom: -0.059
Offset from the most stable computed form in eV/atom: 0.130
Calculated formation energy in meV/atom: -116
Space group: F-43m (216)
Crystal system: cubic
Total moment in μB/f.u.: 0.7

Cell lengths 5.285, 5.285, 5.285 Å; angles 60.00, 60.00, 60.00 degrees
Element x y z (fractional)
Li 0.125 0.125 0.125
Li 0.125 0.125 0.624
Li 0.125 0.624 0.125
Li 0.624 0.125 0.125
Cd 0.750 0.750 0.750
Hg 0.500 0.500 0.500

No. 5
An optimized crystal structure of DyPaIrRh. Source: the Alexandria database, functional PBE-GGA.

Properties
Calculated total energy in Ha/atom: -0.311
Offset from the most stable computed form in eV/atom: 0.000
Calculated formation energy in meV/atom: -885
Space group: Amm2 (38)
Crystal system: orthorhombic
Total moment in μB/f.u.: 0.0

Cell lengths 4.197, 5.662, 5.662 Å; angles 38.96, 90.00, 90.00 degrees
Element x y z (fractional)
Dy 0.000 0.000 0.000
Pa 0.500 0.722 0.722
Ir 0.000 0.267 0.267
Rh 0.500 0.459 0.459